Record 1
YAl2Tl3O6, optimized geometry, DFT GGA-PBE; volume = 19.30 Å³/atom; formation energy without anion corrections = -1.97 eV/atom
1.0
6.0652 0.0000 0.0000
-3.0326 5.2526 0.0000
0.0000 0.0000 7.2703
O Tl Y Al
6 3 1 2
direct
0.8293 0.1707 0.6943 O
0.3415 0.1707 0.6943 O
0.1707 0.3415 0.3057 O
0.1707 0.8293 0.3057 O
0.6585 0.8293 0.3057 O
0.8293 0.6585 0.6943 O
0.0000 0.0000 0.0000 Tl
0.3333 0.6667 0.7590 Tl
0.6667 0.3333 0.2410 Tl
0.0000 0.0000 0.5000 Y
0.6667 0.3333 0.6955 Al
0.3333 0.6667 0.3045 Al

---

Record 2
AlTl2ZnO, optimized geometry, DFT GGA-PBE; volume = 23.40 Å³/atom; DOS at the Fermi energy = 0.619 states/eV/atom; formation energy without anion corrections = -0.39 eV/atom
1.0
5.8153 0.0000 0.0000
0.0000 3.4593 0.0000
0.0000 0.0000 5.8153
Tl O Al Zn
2 1 1 1
direct
0.0000 0.0000 0.5000 Tl
0.5000 0.0000 0.0000 Tl
0.0000 0.5000 0.0000 O
0.0000 0.0000 0.0000 Al
0.5000 0.5000 0.5000 Zn

---

Record 3
ZrAl2TlO, optimized geometry, DFT GGA-PBE; volume = 27.06 Å³/atom; DOS at the Fermi energy = 1.209 states/eV/atom; formation energy without anion corrections = 1.32 eV/atom
1.0
4.9053 0.0000 0.0000
0.0000 5.6228 0.0000
0.0000 0.0000 4.9053
Al O Tl Zr
2 1 1 1
direct
0.0000 0.0000 0.5000 Al
0.5000 0.0000 0.0000 Al
0.5000 0.5000 0.5000 O
0.0000 0.0000 0.0000 Tl
0.0000 0.5000 0.0000 Zr

---

Record 4
ZrAl2Tl2O6, optimized geometry, DFT GGA-PBE; volume = 16.36 Å³/atom; DOS at the Fermi energy = 0.000 states/eV/atom; formation energy without anion corrections = -2.20 eV/atom
1.0
-2.1033 -3.1635 -4.5319
-2.8959 -5.0552 1.0146
-6.7899 0.2534 -0.8838
Zr O Tl Al
1 6 2 2
direct
0.0000 0.0000 0.0000 Zr
0.7623 0.7623 0.2138 O
0.7385 0.2377 0.7862 O
0.2377 0.2377 0.7862 O
0.7623 0.2615 0.2138 O
0.2615 0.7623 0.2138 O
0.2377 0.7385 0.7862 O
0.2044 0.2044 0.3869 Tl
0.7956 0.7956 0.6131 Tl
0.4001 0.4001 0.7997 Al
0.5999 0.5999 0.2003 Al

---

Record 5
TmAlO3, optimized geometry, DFT GGA-PBE; volume = 11.22 Å³/atom; DOS at the Fermi energy = 0.000 states/eV/atom; formation energy without anion corrections = -3.23 eV/atom
1.0
-0.7407 -3.7026 -3.5934
2.6876 -4.4587 0.2593
-2.7933 -4.6388 1.5747
O Al Tm
6 2 2
direct
0.9658 0.2025 0.2720 O
0.7974 0.4404 0.7280 O
0.0342 0.7975 0.7280 O
0.5596 0.9658 0.2720 O
0.4404 0.0342 0.7280 O
0.2026 0.5596 0.2720 O
0.1547 0.1547 0.5358 Al
0.8453 0.8453 0.4642 Al
0.6337 0.6337 0.0988 Tm
0.3663 0.3663 0.9012 Tm

---

Record 6
TmAl2O4, optimized geometry, DFT GGA-PBE; energy above the lowest structure with this stoichiometry = 0.000 eV/f.u.; volume = 11.94 Å³/atom; DOS at the Fermi energy = 0.135 states/eV/atom; formation energy without anion corrections = -2.82 eV/atom
1.0
5.5501 0.0000 2.7956
2.7750 5.5351 1.3979
0.5883 -0.0001 5.7393
Al O Tm
4 8 2
direct
0.4452 0.6265 0.2334 Al
0.4286 0.1265 0.2666 Al
0.3051 0.3735 0.7666 Al
0.8217 0.8735 0.7334 Al
0.0857 0.6939 0.8441 O
0.5296 0.8061 0.3441 O
0.6797 0.1939 0.6559 O
0.1753 0.2548 0.1317 O
0.5619 0.7452 0.8683 O
0.0570 0.7548 0.3683 O
0.1801 0.2452 0.6317 O
0.6236 0.3061 0.1559 O
0.8033 0.5000 0.5000 Tm
0.0533 0.0000 0.0000 Tm